Material: V2WAu
Method: DFT, GGA-PBE
State: optimized geometry

Output
Energy above the most stable polymorph in this dataset (kJ per mole of atoms): 67.3
DOS(E_F) (states/eV per atom): 1.399

Cell lengths 5.6359, 5.6359, 5.6359 Å; angles 103.33, 103.33, 122.60 degrees
Element x y z (fractional)
1 V 0.1131 0.6250 0.9881
2 V 0.3750 0.3631 0.4881
3 V 0.6369 0.1250 0.0119
4 V 0.8750 0.8869 0.5119
5 W 0.0000 0.0000 0.0000
6 W 0.7500 0.2500 0.5000
7 Au 0.2500 0.7500 0.5000
8 Au 0.5000 0.5000 0.0000

***

Material: SrPtS
Method: DFT, GGA-PBE
State: optimized geometry

Output
DOS(E_F) (states/eV per atom): 0.047
Formation energy (no corrections) (eV per formula unit): -3.34

Cell lengths 4.3913, 4.2323, 4.2323 Å; angles 88.75, 90.00, 90.00 degrees
Element x y z (fractional)
1 Sr 0.0000 0.0000 0.0000
2 Pt 0.5000 0.4082 0.4082
3 S 0.0000 0.5070 0.5070

***

Material: Y2HgPt
Method: DFT, GGA-PBE
State: optimized geometry

Output
Final energy (eV/atom): -5.60
DOS(E_F) (states/eV per atom): 0.835

Cell lengths 4.0906, 4.0906, 7.8342 Å; angles 105.08, 105.08, 59.86 degrees
Element x y z (fractional)
1 Y 0.2364 0.2364 0.2097
2 Y 0.7636 0.7636 0.7903
3 Hg 0.0000 0.0000 0.5000
4 Pt 0.5000 0.5000 0.0000

***

Material: YHo2In
Method: DFT, GGA-PBE
State: optimized geometry

Output
Energy above the most stable polymorph in this dataset (kJ per mole of atoms): 15.6
DOS(E_F) (states/eV per atom): 1.619

Cell lengths 5.4412, 5.4412, 5.4412 Å; angles 60.00, 60.00, 60.00 degrees
Element x y z (fractional)
1 Y 0.0000 0.0000 0.0000
2 Ho 0.2500 0.2500 0.2500
3 Ho 0.7500 0.7500 0.7500
4 In 0.5000 0.5000 0.5000

***

Material: ZnTc2NiN
Method: DFT, GGA-PBE
State: optimized geometry

Output
Energy above the most stable polymorph in this dataset (kJ per mole of atoms): 243.5
DOS(E_F) (states/eV per atom): 0.739
Formation energy (no corrections) (eV per formula unit): 12.77

Cell lengths 4.6812, 4.6812, 4.2127 Å; angles 90.00, 90.00, 90.00 degrees
Element x y z (fractional)
1 Zn 0.0000 0.0000 0.0000
2 Tc 0.0000 0.5000 0.0000
3 Tc 0.5000 0.0000 0.0000
4 Ni 0.0000 0.0000 0.5000
5 N 0.5000 0.5000 0.5000

***

Material: ScMoRu2C
Method: DFT, GGA-PBE
State: optimized geometry

Output
Energy above the most stable polymorph in this dataset (kJ per mole of atoms): 0.0
DOS(E_F) (states/eV per atom): 1.198

Cell lengths 4.1283, 4.1283, 4.1627 Å; angles 90.00, 90.00, 90.00 degrees
Element x y z (fractional)
1 Sc 0.0000 0.0000 0.0000
2 Mo 0.5000 0.5000 0.0000
3 Ru 0.0000 0.5000 0.5000
4 Ru 0.5000 0.0000 0.5000
5 C 0.5000 0.5000 0.5000

***

Material: CeP2N2O8
Method: DFT, GGA-PBE
State: optimized geometry

Output
DOS(E_F) (states/eV per atom): 0.692
Formation energy (no corrections) (eV per formula unit): -13.30

Cell lengths 10.5428, 10.5428, 10.5428 Å; angles 142.28, 142.28, 54.40 degrees
Element x y z (fractional)
1 Ce 0.3750 0.6250 0.7500
2 Ce 0.6250 0.3750 0.2500
3 P 0.2058 0.4558 0.7500
4 P 0.4558 0.2058 0.2500
5 P 0.5442 0.7942 0.7500
6 P 0.7942 0.5442 0.2500
7 N 0.0000 0.0000 0.0000
8 N 0.0000 0.0000 0.5000
9 N 0.0000 0.5000 0.0000
10 N 0.5000 0.0000 0.5000
11 O 0.0244 0.5927 0.4318
12 O 0.2580 0.3296 0.5716
13 O 0.2580 0.6864 0.9284
14 O 0.3136 0.7420 0.5716
15 O 0.3296 0.2580 0.0716
16 O 0.3391 0.4073 0.9318
17 O 0.4073 0.3391 0.4318
18 O 0.4073 0.9756 0.0682
19 O 0.5927 0.0244 0.9318
20 O 0.5927 0.6609 0.5682
21 O 0.6609 0.5927 0.0682
22 O 0.6704 0.7420 0.9284
23 O 0.6864 0.2580 0.4284
24 O 0.7420 0.3136 0.0716
25 O 0.7420 0.6704 0.4284
26 O 0.9756 0.4073 0.5682

***

Material: Mg2ReMo
Method: DFT, GGA-PBE
State: optimized geometry

Output
Energy above the most stable polymorph in this dataset (kJ per mole of atoms): 90.1
DOS(E_F) (states/eV per atom): 1.040

Cell lengths 5.8124, 5.8124, 5.8124 Å; angles 101.88, 101.88, 126.04 degrees
Element x y z (fractional)
1 Mg 0.1209 0.1250 0.4959
2 Mg 0.3750 0.8791 0.0041
3 Mg 0.6291 0.6250 0.5041
4 Mg 0.8750 0.3709 0.9959
5 Re 0.0000 0.0000 0.0000
6 Re 0.7500 0.2500 0.5000
7 Mo 0.2500 0.7500 0.5000
8 Mo 0.5000 0.5000 0.0000

***

Material: Pm5Tm2
Method: DFT, GGA-PBE
State: optimized geometry

Output
Energy above the most stable polymorph in this dataset (kJ per mole of atoms): 8.5
DOS(E_F) (states/eV per atom): 1.553

Cell lengths 6.1729, 6.1729, 11.6736 Å; angles 103.87, 103.87, 33.17 degrees
Element x y z (fractional)
1 Pm 0.0000 0.0000 0.0000
2 Pm 0.2352 0.2352 0.8633
3 Pm 0.4641 0.4641 0.7110
4 Pm 0.5359 0.5359 0.2890
5 Pm 0.7648 0.7648 0.1367
6 Tm 0.1476 0.1476 0.5582
7 Tm 0.8524 0.8524 0.4418

***

Material: HfWN2
Method: DFT, GGA-PBE
State: optimized geometry

Output
Energy above the most stable polymorph in this dataset (kJ per mole of atoms): 6.1
DOS(E_F) (states/eV per atom): 0.656
Formation energy (no corrections) (eV per formula unit): -2.56

Cell lengths 5.9846, 5.9846, 5.9846 Å; angles 133.93, 133.93, 67.20 degrees
Element x y z (fractional)
1 Hf 0.0000 0.0000 0.0000
2 Hf 0.7500 0.2500 0.5000
3 W 0.2500 0.7500 0.5000
4 W 0.5000 0.5000 0.0000
5 N 0.1483 0.6250 0.0233
6 N 0.3750 0.3983 0.5233
7 N 0.6017 0.1250 0.9767
8 N 0.8750 0.8517 0.4767

***

Material: La12ThSn3
Method: DFT, GGA-PBE
State: optimized geometry

Output
Final energy (eV/atom): -5.26
DOS(E_F) (states/eV per atom): 1.247

Cell lengths 5.0629, 5.0629, 20.3365 Å; angles 90.00, 90.00, 90.00 degrees
Element x y z (fractional)
1 La 0.0000 0.0000 0.0000
2 La 0.0000 0.0000 0.2447
3 La 0.0000 0.0000 0.5000
4 La 0.0000 0.0000 0.7553
5 La 0.0000 0.5000 0.1228
6 La 0.0000 0.5000 0.3727
7 La 0.0000 0.5000 0.6273
8 La 0.0000 0.5000 0.8772
9 La 0.5000 0.0000 0.1228
10 La 0.5000 0.0000 0.3727
11 La 0.5000 0.0000 0.6273
12 La 0.5000 0.0000 0.8772
13 Th 0.5000 0.5000 0.5000
14 Sn 0.5000 0.5000 0.0000
15 Sn 0.5000 0.5000 0.2468
16 Sn 0.5000 0.5000 0.7532

***

Material: ReSn
Method: DFT, GGA-PBE
State: optimized geometry

Output
Energy above the most stable polymorph in this dataset (kJ per mole of atoms): 64.4
DOS(E_F) (states/eV per atom): 0.799

Cell lengths 6.0056, 6.0056, 5.2583 Å; angles 90.00, 90.00, 90.00 degrees
Element x y z (fractional)
1 Re 0.1350 0.1350 0.0000
2 Re 0.3650 0.6350 0.5000
3 Re 0.6350 0.3650 0.5000
4 Re 0.8650 0.8650 0.0000
5 Sn 0.2023 0.2023 0.5000
6 Sn 0.2977 0.7023 0.0000
7 Sn 0.7023 0.2977 0.0000
8 Sn 0.7977 0.7977 0.5000

***

Question: Look up the DOS(E_F) of the fifth one.
Answer: 0.739 states/eV per atom

***

Question: The highest DOS(E_F) belongs to which entry?
Answer: YHo2In

***

Question: DOS(E_F) of number 4 (YHo2In)?
Answer: 1.619 states/eV per atom

***

Question: Look up the DOS(E_F) of the ninth one.
Answer: 1.553 states/eV per atom